This record from the Alexandria database describes crystalline TlCdAs2 at its relaxed geometry. The functional is PBE.

Volume = 30.3 Å³/atom
E_form = 0.130 eV/atom
Space-group type = I-42d
Electronic total energy = -0.11080 Ha/atom

Cell lengths 6.2574, 6.2574, 7.6062 Å; angles 65.71, 65.71, 90.00 degrees
With the nearest neighbours (Å) after each atom.
Element x y z (fractional)
As  0.6160  0.1250  0.2500  2 Cd 2.67, 2 Tl 2.73
As  0.1340  0.6250  0.2500  2 Cd 2.67, 2 Tl 2.73
Tl  0.0000  0.0000  0.0000  4 As 2.73
Cd  0.5000  0.5000  0.0000  4 As 2.67
As  0.3750  0.3840  0.7500  2 Cd 2.67, 2 Tl 2.73
Cd  0.2500  0.7500  0.5000  4 As 2.67
As  0.8750  0.8660  0.7500  2 Cd 2.67, 2 Tl 2.73
Tl  0.7500  0.2500  0.5000  4 As 2.73